1.
# BaPrNd (PBE, relaxed)
data_BaPrNd
_cell_length_a 3.8641
_cell_length_b 3.8641
_cell_length_c 9.6492
_cell_angle_alpha 90.00
_cell_angle_beta 90.00
_cell_angle_gamma 120.00
_symmetry_space_group_name_H-M 'P 3 m 1'
_symmetry_Int_Tables_number 156
_symmetry_space_group_name_Hall 'P 3 -2"'
loop_
_atom_site_label
_atom_site_type_symbol
_atom_site_fract_x
_atom_site_fract_y
_atom_site_fract_z
_atom_site_occupancy
Ba1 Ba 0.0000 0.0000 0.0000 1
Pr1 Pr 0.3333 0.6667 0.6460 1
Nd1 Nd 0.6667 0.3333 0.3514 1
# **Energy above the lowest structure with this stoichiometry**: 15 meV/atom
# **DFT formation energy**: 38 kJ/mol of formula units

***

2.
# HfAs2BrO (PBE, relaxed)
data_HfAs2BrO
_cell_length_a 5.1967
_cell_length_b 5.1967
_cell_length_c 5.1952
_cell_angle_alpha 90.00
_cell_angle_beta 90.00
_cell_angle_gamma 90.00
_symmetry_space_group_name_H-M 'P 4/m m m'
_symmetry_Int_Tables_number 123
_symmetry_space_group_name_Hall '-P 4 2'
loop_
_atom_site_label
_atom_site_type_symbol
_atom_site_fract_x
_atom_site_fract_y
_atom_site_fract_z
_atom_site_occupancy
Hf1 Hf 0.0000 0.0000 0.0000 1
As1 As 0.0000 0.5000 0.0000 1
Br1 Br 0.0000 0.0000 0.5000 1
O1 O 0.5000 0.5000 0.5000 1
# **Energy above the lowest structure with this stoichiometry**: 479 meV/atom
# **Uncorrected formation energy**: 0.455 eV/atom

***

3.
# PrDy5Y (PBE, relaxed)
data_PrDy5Y
_cell_length_a 11.7417
_cell_length_b 6.7884
_cell_length_c 12.2153
_cell_angle_alpha 90.00
_cell_angle_beta 110.12
_cell_angle_gamma 90.00
_symmetry_space_group_name_H-M 'C 1 2/c 1'
_symmetry_Int_Tables_number 15
_symmetry_space_group_name_Hall '-C 2yc'
loop_
_atom_site_label
_atom_site_type_symbol
_atom_site_fract_x
_atom_site_fract_y
_atom_site_fract_z
_atom_site_occupancy
Pr1 Pr 0.0000 0.0295 0.2500 1
Dy1 Dy 0.0000 0.4093 0.7500 1
Dy2 Dy 0.0788 0.2694 0.4999 1
Dy3 Dy 0.2195 0.3670 0.2481 1
Y1 Y 0.2500 0.2500 0.0000 1
# **Energy above the lowest structure with this stoichiometry**: 0 meV/atom
# **DFT formation energy**: 125 kJ/mol of formula units

***

4.
# RbTmSnI6 (PBE, relaxed)
data_RbTmSnI6
_cell_length_a 8.0654
_cell_length_b 8.0654
_cell_length_c 8.0609
_cell_angle_alpha 90.00
_cell_angle_beta 90.00
_cell_angle_gamma 120.00
_symmetry_space_group_name_H-M 'P 3 1 2'
_symmetry_Int_Tables_number 149
_symmetry_space_group_name_Hall 'P 3 2'
loop_
_atom_site_label
_atom_site_type_symbol
_atom_site_fract_x
_atom_site_fract_y
_atom_site_fract_z
_atom_site_occupancy
Rb1 Rb 0.0000 0.0000 0.0000 1
Tm1 Tm 0.6667 0.3333 0.5000 1
Sn1 Sn 0.3333 0.6667 0.5000 1
I1 I 0.3786 0.0179 0.7191 1
# **Uncorrected formation energy**: -1.123 eV/atom

***

5.
# Pt2Pb (PBE, relaxed)
data_Pt2Pb
_cell_length_a 4.1451
_cell_length_b 4.1451
_cell_length_c 26.3928
_cell_angle_alpha 90.00
_cell_angle_beta 90.00
_cell_angle_gamma 90.00
_symmetry_space_group_name_H-M 'I 41/a m d'
_symmetry_Int_Tables_number 141
loop_
_symmetry_equiv_pos_as_xyz
'x,y,z'
'-x,-y,-z'
'-y+1/4,x+3/4,z+1/4'
'y+1/4,-x+3/4,-z+1/4'
'-x+1/2,-y,z+1/2'
'x+1/2,y,-z+1/2'
'y+1/4,-x+1/4,z+3/4'
'-y+1/4,x+1/4,-z+3/4'
'x,-y,-z'
'-x,y,z'
'-y+1/4,-x+1/4,-z+3/4'
'y+1/4,x+1/4,z+3/4'
'-x+1/2,y,-z+1/2'
'x+1/2,-y,z+1/2'
'y+1/4,x+3/4,-z+1/4'
'-y+1/4,-x+3/4,z+1/4'
'x+1/2,y+1/2,z+1/2'
'-x+1/2,-y+1/2,-z+1/2'
'-y+3/4,x+1/4,z+3/4'
'y+3/4,-x+1/4,-z+3/4'
'-x,-y+1/2,z'
'x,y+1/2,-z'
'y+3/4,-x+3/4,z+1/4'
'-y+3/4,x+3/4,-z+1/4'
'x+1/2,-y+1/2,-z+1/2'
'-x+1/2,y+1/2,z+1/2'
'-y+3/4,-x+3/4,-z+1/4'
'y+3/4,x+3/4,z+1/4'
'-x,y+1/2,-z'
'x,-y+1/2,z'
'y+3/4,x+1/4,-z+3/4'
'-y+3/4,-x+1/4,z+3/4'
loop_
_atom_site_label
_atom_site_type_symbol
_atom_site_fract_x
_atom_site_fract_y
_atom_site_fract_z
_atom_site_occupancy
Pt1 Pt 0.0000 0.2500 0.1252 1
Pt2 Pt 0.0000 0.2500 0.2955 1
Pb1 Pb 0.0000 0.2500 0.7975 1
# **DFT formation energy**: -4 kJ/mol of formula units

***

6.
# TbEr3Sb3 (PBE, relaxed)
data_TbEr3Sb3
_cell_length_a 8.9193
_cell_length_b 8.9193
_cell_length_c 18.2988
_cell_angle_alpha 90.00
_cell_angle_beta 90.00
_cell_angle_gamma 120.00
_symmetry_space_group_name_H-M 'R -3'
_symmetry_Int_Tables_number 148
_symmetry_space_group_name_Hall '-R 3'
loop_
_atom_site_label
_atom_site_type_symbol
_atom_site_fract_x
_atom_site_fract_y
_atom_site_fract_z
_atom_site_occupancy
Tb1 Tb 0.0000 0.0000 0.1658 1
Er1 Er 0.0021 0.2621 0.5838 1
Sb1 Sb 0.0037 0.3876 0.4171 1
# **Energy above the lowest structure with this stoichiometry**: 90 meV/atom
# **Uncorrected formation energy**: -0.874 eV/atom

***

7.
# Tb6Ga2TeSe3 (PBE, relaxed)
data_Tb6Ga2TeSe3
_cell_length_a 18.3445
_cell_length_b 4.0573
_cell_length_c 8.6119
_cell_angle_alpha 90.00
_cell_angle_beta 104.04
_cell_angle_gamma 90.00
_symmetry_space_group_name_H-M 'C 1 2/m 1'
_symmetry_Int_Tables_number 12
_symmetry_space_group_name_Hall '-C 2y'
loop_
_atom_site_label
_atom_site_type_symbol
_atom_site_fract_x
_atom_site_fract_y
_atom_site_fract_z
_atom_site_occupancy
Tb1 Tb 0.0068 0.0000 0.2676 1
Tb2 Tb 0.1668 0.5000 0.5875 1
Tb3 Tb 0.1716 0.5000 0.0940 1
Ga1 Ga 0.1689 0.0000 0.3389 1
Te1 Te 0.0000 0.5000 0.0000 1
Se1 Se 0.0000 0.5000 0.5000 1
Se2 Se 0.1622 0.0000 0.8368 1
# **Uncorrected formation energy**: -1.314 eV/atom

***

8.
# SrCrRe (PBE, relaxed)
data_SrCrRe
_cell_length_a 3.2462
_cell_length_b 3.2462
_cell_length_c 7.0410
_cell_angle_alpha 90.00
_cell_angle_beta 90.00
_cell_angle_gamma 120.00
_symmetry_space_group_name_H-M 'P 3 m 1'
_symmetry_Int_Tables_number 156
_symmetry_space_group_name_Hall 'P 3 -2"'
loop_
_atom_site_label
_atom_site_type_symbol
_atom_site_fract_x
_atom_site_fract_y
_atom_site_fract_z
_atom_site_occupancy
Sr1 Sr 0.0000 0.0000 0.0000 1
Cr1 Cr 0.3333 0.6667 0.4006 1
Re1 Re 0.6667 0.3333 0.6021 1
# **Energy above the lowest structure with this stoichiometry**: 358 meV/atom
# **DFT formation energy**: 296 kJ/mol of formula units

***

| no. | theoretical density (g/cm3) |
| --- | --- |
| 1 | 5.6 |
| 2 | 5.0 |
| 3 | 7.6 |
| 4 | 4.1 |
| 5 | 17.5 |
| 6 | 8.1 |
| 7 | 7.8 |
| 8 | 8.4 |